1.
15
Lattice="5.508 -5.509 0.000 5.508 5.509 0.000 -5.500 0.000 5.511" Properties=species:S:1:pos:R:3 comment="Tb4U3S8 PBE relaxed" e_form_raw_ev_per_atom=-1.75 spacegroup="C2/m (12)" pbc="T T T"
Tb 0.000 0.000 0.000
Tb 2.754 2.754 0.000
Tb 2.754 -2.754 0.000
Tb 2.758 0.000 2.756
U -2.750 0.000 2.756
U 0.004 2.754 2.756
U 0.004 -2.754 2.756
S 2.758 2.756 2.756
S -2.719 0.000 5.501
S 0.003 0.000 2.782
S 5.508 2.730 0.000
S 5.508 -2.730 0.000
S 5.512 0.000 2.729
S 8.234 0.000 0.011
S 2.758 -2.756 2.756

---

2.
8
Lattice="6.191 0.000 0.000 0.000 3.582 0.000 -2.067 0.000 6.970" Properties=species:S:1:pos:R:3 comment="Ce4NCl2O PBE relaxed" e_form_raw_ev_per_atom=-1.83 spacegroup="P2/m (10)" pbc="T T T"
Ce 1.020 0.000 1.379
Ce -0.019 1.791 5.589
Ce 4.144 1.791 1.381
Ce 3.105 0.000 5.591
N 0.000 1.791 0.000
Cl -1.033 0.000 3.485
Cl 2.062 1.791 3.485
O 3.096 0.000 0.000

---

3.
16
Lattice="2.249 -7.162 0.000 2.249 7.162 0.000 0.000 0.000 15.402" Properties=species:S:1:pos:R:3 comment="K3In2As3 PBE relaxed" spacegroup="Cmcm (63)" e_form_ev_per_atom=-0.41 polymorph_energy_mev_per_atom=31.2 pbc="T T T"
K 2.249 6.348 9.435
K 2.249 6.348 13.668
K 2.249 2.312 11.551
K 2.249 -2.312 3.850
K 2.249 -6.348 1.734
K 2.249 -6.348 5.967
In 2.249 3.686 1.425
In 2.249 3.686 6.276
In 2.249 -3.686 9.126
In 2.249 -3.686 13.976
As 2.249 2.362 3.850
As 2.249 1.960 8.422
As 2.249 1.960 14.681
As 2.249 -1.960 0.721
As 2.249 -1.960 6.980
As 2.249 -2.362 11.551

---

4.
7
Lattice="7.981 0.000 0.000 -3.990 6.912 0.000 0.000 0.000 4.851" Properties=species:S:1:pos:R:3 comment="K3Se4 PBE relaxed" e_form_raw_ev_per_atom=-0.48 spacegroup="P6/mmm (191)" polymorph_energy_mev_per_atom=306.0 pbc="T T T"
K -1.995 3.456 0.000
K 3.990 0.000 0.000
K 1.995 3.456 0.000
Se 0.000 0.000 1.278
Se 0.000 0.000 3.573
Se 0.000 4.608 2.426
Se 3.990 2.304 2.426

---

5.
12
Lattice="9.874 -2.269 0.000 9.874 2.269 0.000 -2.050 0.000 8.828" Properties=species:S:1:pos:R:3 comment="PmPr2Er3Bi6 PBE relaxed" spacegroup="C2/m (12)" e_form_ev_per_atom=-0.88 pbc="T T T"
Pm 0.000 0.000 0.000
Pr 5.220 0.000 5.888
Pr 12.477 0.000 2.940
Er -1.025 0.000 4.414
Er 6.233 0.000 1.468
Er 11.464 0.000 7.359
Bi 2.023 0.000 5.214
Bi 3.172 0.000 0.667
Bi 9.291 0.000 2.246
Bi 8.407 0.000 6.582
Bi 14.525 0.000 8.161
Bi 15.674 0.000 3.614

---

6.
3
Lattice="4.943 0.000 0.000 -2.471 4.280 0.000 0.000 0.000 2.971" Properties=species:S:1:pos:R:3 comment="MgNpGa PBE relaxed" spacegroup="P-6m2 (187)" e_form_ev_per_atom=0.06 pbc="T T T"
Mg 0.000 0.000 0.000
Np 2.471 1.427 1.485
Ga 0.000 2.854 0.000

---

7.
20
Lattice="9.165 0.000 0.000 0.000 9.165 0.000 0.000 0.000 2.934" Properties=species:S:1:pos:R:3 comment="VCr2B2Ru5 PBE relaxed" spacegroup="P4/mbm (127)" e_form_ev_per_atom=-0.16 pbc="T T T"
V 0.000 0.000 0.000
V 4.583 4.583 0.000
Cr 1.627 2.956 0.000
Cr 2.956 7.539 0.000
Cr 6.209 1.627 0.000
Cr 7.539 6.209 0.000
B 1.139 5.722 0.000
B 3.443 1.139 0.000
B 5.722 8.026 0.000
B 8.026 3.443 0.000
Ru 0.000 4.583 1.467
Ru 0.659 7.225 1.467
Ru 1.940 0.659 1.467
Ru 2.643 5.242 1.467
Ru 3.924 2.643 1.467
Ru 4.583 0.000 1.467
Ru 5.242 6.522 1.467
Ru 6.522 3.924 1.467
Ru 7.225 8.506 1.467
Ru 8.506 1.940 1.467

---

8.
4
Lattice="2.922 0.000 0.000 0.000 2.922 0.000 0.000 0.000 5.236" Properties=species:S:1:pos:R:3 comment="Be2CrTc PBE relaxed" spacegroup="P4mm (99)" e_form_ev_per_atom=0.03 polymorph_energy_mev_per_atom=118.3 pbc="T T T"
Be 0.000 0.000 0.000
Be 1.461 1.461 1.074
Cr 0.000 0.000 2.504
Tc 1.461 1.461 3.735

---

| no. | total DFT energy (no corrections) (eV per atom) |
| --- | --- |
| 1 | -7.446 |
| 2 | -6.921 |
| 3 | -3.255 |
| 4 | -2.941 |
| 5 | -5.153 |
| 6 | -5.797 |
| 7 | -8.970 |
| 8 | -6.829 |